Record 1
Computed, not measured: a geometry-optimized Tc2P2Pd structure at the PBE level of DFT.

Values from the calculation:
Energy relative to the lowest polymorph listed for this composition ... 0.199 eV/atom
Fermi-level density of states ... 2.28 states/eV/cell
Formation energy from the elements ... -0.65 eV/f.u.
Total magnetic moment ... 0.00 μB/cell

Unit cell a=3.5535 b=3.5535 c=6.3377 alpha=73.72 beta=73.72 gamma=90.00
Last column: nearest neighbours and their distance in Å.
Positions (direct):
P 0.7500 0.2500 0.5000  4 Tc 2.38, 4 P 2.51
P 0.2500 0.7500 0.5000  4 Tc 2.38, 4 P 2.51
Pd 0.0000 0.0000 0.0000  8 Tc 2.84
Tc 0.6145 0.6145 0.7709  4 P 2.38
Tc 0.3855 0.3855 0.2291  4 P 2.38

---

Record 2
Computed, not measured: a geometry-optimized CsCuAg3 structure at the PBE level of DFT.

Values from the calculation:
Energy relative to the lowest polymorph listed for this composition ... 1.289 eV/atom
Fermi-level density of states ... 8.08 states/eV/cell
Formation energy from the elements ... 8.11 eV/f.u.
Total magnetic moment ... 0.02 μB/cell

Unit cell a=6.2139 b=6.2139 c=6.2139 alpha=90.00 beta=90.00 gamma=90.00
Last column: nearest neighbours and their distance in Å.
Positions (direct):
Cs 0.0000 0.0000 0.0000  6 Ag 3.11
Ag 0.0000 0.5000 0.0000  2 Cs 3.11
Ag 0.5000 0.0000 0.0000  2 Cs 3.11
Ag 0.0000 0.0000 0.5000  2 Cs 3.11
Cu 0.5000 0.5000 0.5000  12 Ag 4.39

---

Record 3
Computed, not measured: a geometry-optimized LiMoSeN2 structure at the PBE level of DFT.

Values from the calculation:
Energy relative to the lowest polymorph listed for this composition ... 1.587 eV/atom
Fermi-level density of states ... 5.35 states/eV/cell
Total magnetic moment ... 0.00 μB/cell
Uncorrected formation energy ... 1631 meV/atom

Unit cell a=3.6943 b=3.6943 c=4.3748 alpha=90.00 beta=90.00 gamma=90.00
Last column: nearest neighbours and their distance in Å.
Positions (direct):
N 0.0000 0.5000 0.0000  2 Li 1.85
N 0.5000 0.0000 0.0000  2 Li 1.85
Li 0.0000 0.0000 0.0000  4 N 1.85
Se 0.0000 0.0000 0.5000  2 Li 2.19
Mo 0.5000 0.5000 0.5000  4 Se 2.61, 8 N 2.86

---

Record 4
Computed, not measured: a geometry-optimized V2ReH structure at the PBE level of DFT.

Values from the calculation:
Energy relative to the lowest polymorph listed for this composition ... 0.288 eV/atom
Fermi-level density of states ... 3.76 states/eV/cell
Total magnetic moment ... 0.02 μB/cell

Unit cell a=2.8602 b=2.8602 c=5.6629 alpha=90.00 beta=90.00 gamma=90.00
Last column: nearest neighbours and their distance in Å.
Positions (direct):
H 0.5000 0.5000 0.0000  8 V 2.34
V 0.0000 0.0000 0.2079  4 H 2.34, 1 V 2.35, 4 Re 2.61
V 0.0000 0.0000 0.7921  4 H 2.34, 1 V 2.35, 4 Re 2.61
Re 0.5000 0.5000 0.5000  8 V 2.61, 2 H 2.83, 4 Re 2.86

---

Record 5
Computed, not measured: a geometry-optimized SrNd4Ge4 structure at the PBE level of DFT.

Values from the calculation:
Fermi-level density of states ... 9.17 states/eV/cell
Formation energy from the elements ... -5.20 eV/f.u.
Total magnetic moment ... 0.00 μB/cell

Unit cell a=6.0125 b=9.8242 c=9.8242 alpha=90.00 beta=90.00 gamma=90.00
Last column: nearest neighbours and their distance in Å.
Positions (direct):
Sr 0.0000 0.0000 0.0000  4 Ge 3.49
Sr 0.5000 0.5000 0.5000  4 Ge 3.49
Nd 0.3813 0.3592 0.8830  5 Ge 3.01-3.15
Nd 0.3813 0.6408 0.1170  5 Ge 3.01-3.15
Nd 0.6187 0.8830 0.6408  5 Ge 3.01-3.15
Nd 0.8813 0.6170 0.8592  5 Ge 3.01-3.15
Nd 0.6187 0.1170 0.3592  5 Ge 3.01-3.15
Nd 0.8813 0.3830 0.1408  5 Ge 3.01-3.15
Nd 0.1187 0.8592 0.3830  5 Ge 3.01-3.15
Nd 0.1187 0.1408 0.6170  5 Ge 3.01-3.15
Ge 0.3921 0.6662 0.8073  1 Ge 2.63
Ge 0.6079 0.1927 0.6662  1 Ge 2.63
Ge 0.1079 0.1662 0.3073  1 Ge 2.63
Ge 0.8921 0.3073 0.8338  1 Ge 2.63
Ge 0.3921 0.3338 0.1927  1 Ge 2.63
Ge 0.1079 0.8338 0.6927  1 Ge 2.63
Ge 0.6079 0.8073 0.3338  1 Ge 2.63
Ge 0.8921 0.6927 0.1662  1 Ge 2.63

---

Record 6
Computed, not measured: a geometry-optimized AlCu2Ru structure at the PBE level of DFT.

Values from the calculation:
Fermi-level density of states ... 1.79 states/eV/cell
Formation energy from the elements ... -0.68 eV/f.u.
Total magnetic moment ... 0.00 μB/cell

Unit cell a=4.1838 b=4.1838 c=4.1838 alpha=119.92 beta=119.93 gamma=90.13
Last column: nearest neighbours and their distance in Å.
Positions (direct):
Cu 0.0000 0.0000 0.0000  4 Al 2.56, 4 Cu 2.56
Cu 0.7500 0.2500 0.5000  4 Cu 2.56, 4 Ru 2.56
Al 0.2500 0.7500 0.5000  4 Cu 2.56, 4 Ru 2.56
Ru 0.5000 0.5000 0.0000  4 Al 2.56, 4 Cu 2.56

---

Record 7
Computed, not measured: a geometry-optimized Ac8Ru3PbBr4 structure at the PBE level of DFT.

Values from the calculation:
Fermi-level density of states ... 8.62 states/eV/cell
Total magnetic moment ... 0.00 μB/cell
Uncorrected formation energy ... -836 meV/atom

Unit cell a=8.9807 b=9.6457 c=8.9804 alpha=117.79 beta=120.00 gamma=90.00
Last column: nearest neighbours and their distance in Å.
Positions (direct):
Ru 0.5000 0.5000 0.0000  6 Ac 2.94-3.09
Ru 0.0000 0.5000 0.5000  6 Ac 2.94-3.09
Ru 0.5000 0.5000 0.5000  6 Ac 2.94-3.09
Ac 0.2646 0.2939 0.5292  3 Ru 3.09
Ac 0.7536 0.3057 0.0517  2 Ru 2.94, 1 Pb 3.24
Ac 0.2464 0.6943 0.9483  2 Ru 2.94, 1 Pb 3.24
Ac 0.7354 0.7061 0.4708  3 Ru 3.09
Ac 0.2982 0.3057 0.0517  2 Ru 2.94, 1 Pb 3.24
Ac 0.7536 0.3059 0.5072  2 Ru 2.94, 1 Pb 3.24
Ac 0.7018 0.6943 0.9483  2 Ru 2.94, 1 Pb 3.24
Ac 0.2464 0.6941 0.4928  2 Ru 2.94, 1 Pb 3.24
Br 0.0000 0.0000 0.5000  6 Ac 3.53-3.68
Br 0.5000 0.0000 0.0000  6 Ac 3.43
Br 0.0000 0.0000 0.0000  6 Ac 3.52-3.68
Br 0.5000 0.0000 0.5000  6 Ac 3.53-3.68
Pb 0.0000 0.5000 0.0000  6 Ac 3.24

---

Record 8
Computed, not measured: a geometry-optimized K2LaCl structure at the PBE level of DFT.

Values from the calculation:
Energy relative to the lowest polymorph listed for this composition ... 0.040 eV/atom
Fermi-level density of states ... 5.08 states/eV/cell
Total magnetic moment ... 0.01 μB/cell
Uncorrected formation energy ... -655 meV/atom

Unit cell a=3.8006 b=3.8006 c=11.5848 alpha=90.00 beta=90.00 gamma=107.00
Last column: nearest neighbours and their distance in Å.
Positions (direct):
Cl 0.5000 0.5000 0.7500  4 K 3.04
La 0.5000 0.5000 0.2500  4 La 3.80
K 0.0000 0.0000 0.9255  2 Cl 3.04
K 0.0000 0.0000 0.5745  2 Cl 3.04